No. 1
Ir2OsBr after structural relaxation, computed with PBE.

Energy relative to the lowest polymorph listed for this composition   198 meV per atom
Theoretical density   15.00 Mg/m³
Formation energy from raw total energies   0.804 eV per atom
Space group   No. 47
D(E_F)   1.03 states/eV/atom

Cell lengths 2.769, 3.592, 7.282 Å; angles 90.00, 90.00, 90.00 degrees
Fractional coordinates of all 4 atoms:
Ir: 0.000 0.000 0.185
Ir: 0.000 0.000 0.815
Os: 0.500 0.500 0.000
Br: 0.500 0.500 0.500

No. 2
PrErS after structural relaxation, computed with PBE.

Energy relative to the lowest polymorph listed for this composition   66 meV per atom
Theoretical density   6.92 Mg/m³
Formation energy from raw total energies   -1.168 eV per atom
Space group   No. 187
D(E_F)   0.72 states/eV/atom

Cell lengths 3.740, 3.740, 13.478 Å; angles 90.00, 90.00, 120.00 degrees
Fractional coordinates of all 6 atoms:
Pr: 0.000 0.000 0.218
Pr: 0.000 0.000 0.782
Er: 0.000 0.000 0.500
Er: 0.667 0.333 0.000
S: 0.667 0.333 0.372
S: 0.667 0.333 0.628

No. 3
Mn6Nb3P5 after structural relaxation, computed with PBE.

Raw total energy   -241.837 eV per cell
Theoretical density   7.02 Mg/m³
Space group   No. 59
D(E_F)   0.67 states/eV/atom

Cell lengths 3.582, 11.184, 9.019 Å; angles 90.00, 90.00, 90.00 degrees
Fractional coordinates of all 28 atoms:
Mn: 0.250 0.059 0.090
Mn: 0.250 0.250 0.484
Mn: 0.250 0.250 0.970
Mn: 0.250 0.441 0.090
Mn: 0.250 0.581 0.506
Mn: 0.250 0.919 0.506
Mn: 0.750 0.081 0.494
Mn: 0.750 0.419 0.494
Mn: 0.750 0.559 0.910
Mn: 0.750 0.750 0.030
Mn: 0.750 0.750 0.516
Mn: 0.750 0.941 0.910
Nb: 0.250 0.096 0.754
Nb: 0.250 0.404 0.754
Nb: 0.250 0.750 0.768
Nb: 0.750 0.250 0.232
Nb: 0.750 0.596 0.246
Nb: 0.750 0.904 0.246
P: 0.250 0.080 0.333
P: 0.250 0.420 0.333
P: 0.250 0.630 0.031
P: 0.250 0.750 0.358
P: 0.250 0.870 0.031
P: 0.750 0.130 0.969
P: 0.750 0.250 0.642
P: 0.750 0.370 0.969
P: 0.750 0.580 0.667
P: 0.750 0.920 0.667

No. 4
TlSi2Os2 after structural relaxation, computed with PBE.

Energy relative to the lowest polymorph listed for this composition   0 meV per atom
Theoretical density   13.04 Mg/m³
Formation energy from raw total energies   -0.017 eV per atom
Space group   No. 139
D(E_F)   0.39 states/eV/atom

Cell lengths 3.682, 3.682, 12.039 Å; angles 90.00, 90.00, 90.00 degrees
Fractional coordinates of all 10 atoms:
Tl: 0.000 0.000 0.000
Tl: 0.500 0.500 0.500
Si: 0.000 0.500 0.250
Si: 0.000 0.500 0.750
Si: 0.500 0.000 0.250
Si: 0.500 0.000 0.750
Os: 0.000 0.000 0.380
Os: 0.000 0.000 0.620
Os: 0.500 0.500 0.120
Os: 0.500 0.500 0.880

No. 5
AlAgPb after structural relaxation, computed with PBE.

Raw total energy   -20.161 eV per cell
Theoretical density   8.15 Mg/m³
Space group   No. 6
D(E_F)   0.46 states/eV/atom

Cell lengths 5.395, 4.174, 6.295 Å; angles 90.00, 100.37, 90.00 degrees
Fractional coordinates of all 6 atoms:
Al: 0.000 0.000 0.000
Al: 0.317 0.500 0.201
Ag: 0.494 0.000 0.999
Ag: 0.822 0.500 0.210
Pb: 0.144 0.000 0.539
Pb: 0.668 0.500 0.670